1.
This record from Alexandria via LeMat-Bulk describes a crystal of TaZn4Tc relaxed with PBEsol. The functional is meta-GGA SCAN.

a = 6.8810 Å, b = 6.8810 Å, c = 6.8810 Å
α = 90.00°, β = 90.00°, γ = 90.00°
Space group F-43m (No. 216)
Symmetry-distinct sites (fractional):
Ta 0.0000 0.0000 0.0000
Zn 0.1248 0.1248 0.3752
Tc 0.2500 0.2500 0.7500

Properties
E_form	-171	meV/atom

2.
This record from Alexandria via LeMat-Bulk describes a crystal of TaZn2Tc relaxed with PBEsol. The functional is meta-GGA SCAN.

a = 6.1200 Å, b = 6.1200 Å, c = 6.1200 Å
α = 90.00°, β = 90.00°, γ = 90.00°
Space group Fm-3m (No. 225)
Symmetry-distinct sites (fractional):
Ta 0.0000 0.0000 0.0000
Zn 0.2500 0.2500 0.2500
Tc 0.0000 0.0000 0.5000

Properties
E_form	168	meV/atom
excess energy over the best structure of this formula in the dataset	175	meV/atom

3.
This record from Alexandria via LeMat-Bulk describes a crystal of TaZnTc2 relaxed with PBEsol. The functional is meta-GGA SCAN.

a = 6.1781 Å, b = 6.1781 Å, c = 6.1781 Å
α = 90.00°, β = 90.00°, γ = 90.00°
Space group F-43m (No. 216)
Symmetry-distinct sites (fractional):
Ta 0.0000 0.0000 0.0000
Zn 0.2500 0.2500 0.7500
Tc 0.0000 0.0000 0.5000
Tc 0.2500 0.2500 0.2500

Properties
E_form	81	meV/atom

4.
This record from Alexandria via LeMat-Bulk describes a crystal of Ta2ZnTc relaxed with PBEsol. The functional is meta-GGA SCAN.

a = 4.3060 Å, b = 4.3060 Å, c = 3.3585 Å
α = 90.00°, β = 90.00°, γ = 90.00°
Space group P4/mmm (No. 123)
Symmetry-distinct sites (fractional):
Ta 0.0000 0.5000 0.0000
Zn 0.0000 0.0000 0.5000
Tc 0.5000 0.5000 0.5000

Properties
E_form	-158	meV/atom

5.
This record from Alexandria via LeMat-Bulk describes a crystal of ZrTa3Tc relaxed with PBEsol. The functional is meta-GGA SCAN.

a = 4.7156 Å, b = 4.7156 Å, c = 4.7156 Å
α = 90.00°, β = 90.00°, γ = 90.00°
Space group Pm-3m (No. 221)
Symmetry-distinct sites (fractional):
Zr 0.0000 0.0000 0.0000
Ta 0.0000 0.0000 0.5000
Tc 0.5000 0.5000 0.5000

Properties
E_form	2312	meV/atom

6.
This record from Alexandria via LeMat-Bulk describes a crystal of TaTe3 relaxed with PBEsol. The functional is meta-GGA SCAN.

a = 3.7132 Å, b = 4.5450 Å, c = 6.5785 Å
α = 90.00°, β = 90.00°, γ = 90.00°
Space group Pmm2 (No. 25)
Symmetry-distinct sites (fractional):
Ta 0.0000 0.0000 0.0000
Te 0.0000 0.5000 0.2538
Te 0.5000 0.0000 0.3230
Te 0.5000 0.5000 0.8092

Properties
formation energy from raw total energies	0.308	eV/atom

7.
This record from Alexandria via LeMat-Bulk describes a crystal of TaTe relaxed with PBEsol. The functional is meta-GGA SCAN.

a = 3.3328 Å, b = 3.3328 Å, c = 9.7770 Å
α = 90.00°, β = 90.00°, γ = 120.00°
Space group P-3m1 (No. 164)
Symmetry-distinct sites (fractional):
Ta 0.3333 0.6667 0.1053
Te 0.3333 0.6667 0.6839

Properties
formation energy from raw total energies	-0.033	eV/atom

8.
This record from Alexandria via LeMat-Bulk describes a crystal of Ta3Te relaxed with PBEsol. The functional is meta-GGA SCAN.

a = 3.4687 Å, b = 5.0086 Å, c = 8.7368 Å
α = 90.00°, β = 90.00°, γ = 90.00°
Space group Cmmm (No. 65)
Symmetry-distinct sites (fractional):
Ta 0.0000 0.0000 0.0000
Ta 0.0000 0.5000 0.2446
Te 0.0000 0.0000 0.5000

Properties
formation energy from raw total energies	0.227	eV/atom

9.
This record from Alexandria via LeMat-Bulk describes a crystal of TaTe relaxed with PBEsol. The functional is meta-GGA SCAN.

a = 6.2240 Å, b = 6.2240 Å, c = 6.2240 Å
α = 90.00°, β = 90.00°, γ = 90.00°
Space group F-43m (No. 216)
Symmetry-distinct sites (fractional):
Ta 0.0000 0.0000 0.0000
Te 0.2500 0.2500 0.2500

Properties
formation energy from raw total energies	0.896	eV/atom

10.
This record from Alexandria via LeMat-Bulk describes a crystal of TaTe relaxed with PBEsol. The functional is meta-GGA SCAN.

a = 3.3992 Å, b = 5.3750 Å, c = 4.5146 Å
α = 90.00°, β = 90.00°, γ = 90.00°
Space group Cmmm (No. 65)
Symmetry-distinct sites (fractional):
Ta 0.0000 0.0000 0.0000
Te 0.0000 0.5000 0.5000

Properties
formation energy from raw total energies	0.631	eV/atom

11.
This record from Alexandria via LeMat-Bulk describes a crystal of Ta3Te relaxed with PBEsol. The functional is meta-GGA SCAN.

a = 3.5054 Å, b = 3.5054 Å, c = 6.0716 Å
α = 90.00°, β = 90.00°, γ = 90.00°
Space group P4/mmm (No. 123)
Symmetry-distinct sites (fractional):
Ta 0.0000 0.0000 0.0000
Ta 0.5000 0.5000 0.2349
Te 0.0000 0.0000 0.5000

Properties
formation energy from raw total energies	0.067	eV/atom

12.
This record from Alexandria via LeMat-Bulk describes a crystal of TaTe relaxed with PBEsol. The functional is meta-GGA SCAN.

a = 3.6590 Å, b = 4.1830 Å, c = 6.7736 Å
α = 90.00°, β = 90.00°, γ = 90.00°
Space group Pmmn (No. 59, origin choice 2)
Symmetry-distinct sites (fractional):
Ta 0.2500 0.2500 0.0190
Te 0.2500 0.7500 0.2987

Properties
formation energy from raw total energies	-0.130	eV/atom

13.
This record from Alexandria via LeMat-Bulk describes a crystal of TaTiZnTe2 relaxed with PBEsol. The functional is meta-GGA SCAN.

a = 5.3137 Å, b = 5.3137 Å, c = 4.8536 Å
α = 90.00°, β = 90.00°, γ = 90.00°
Space group P4/mmm (No. 123)
Symmetry-distinct sites (fractional):
Ta 0.0000 0.0000 0.0000
Ti 0.0000 0.0000 0.5000
Zn 0.5000 0.5000 0.5000
Te 0.0000 0.5000 0.0000

Properties
formation energy from raw total energies	0.723	eV/atom

14.
This record from Alexandria via LeMat-Bulk describes a crystal of TaTl2Te relaxed with PBEsol. The functional is meta-GGA SCAN.

a = 3.2760 Å, b = 4.8568 Å, c = 13.3371 Å
α = 90.00°, β = 90.00°, γ = 90.00°
Space group Imm2 (No. 44)
Symmetry-distinct sites (fractional):
Ta 0.0000 0.0000 0.0000
Tl 0.0000 0.0000 0.5292
Tl 0.0000 0.5000 0.6990
Te 0.0000 0.5000 0.3381

Properties
formation energy from raw total energies	0.292	eV/atom
excess energy over the best structure of this formula in the dataset	36	meV/atom

15.
This record from Alexandria via LeMat-Bulk describes a crystal of TaTl3Te relaxed with PBEsol. The functional is meta-GGA SCAN.

a = 5.6673 Å, b = 5.6673 Å, c = 5.6673 Å
α = 90.00°, β = 90.00°, γ = 90.00°
Space group Pm-3m (No. 221)
Symmetry-distinct sites (fractional):
Ta 0.0000 0.0000 0.0000
Tl 0.0000 0.5000 0.5000
Te 0.5000 0.5000 0.5000

Properties
formation energy from raw total energies	1.593	eV/atom

16.
This record from Alexandria via LeMat-Bulk describes a crystal of TaTlTe relaxed with PBEsol. The functional is meta-GGA SCAN.

a = 3.4274 Å, b = 3.4274 Å, c = 11.6064 Å
α = 90.00°, β = 90.00°, γ = 90.00°
Space group I4mm (No. 107)
Symmetry-distinct sites (fractional):
Ta 0.0000 0.0000 0.0000
Tl 0.0000 0.0000 0.3357
Te 0.0000 0.0000 0.6233

Properties
formation energy from raw total energies	0.298	eV/atom

no.,N(E_F) (states/eV/f.u.),calculated volume (Å³/atom)
1,1.27,13.58
2,2.60,14.33
3,3.32,14.74
4,2.66,15.57
5,5.22,20.97
6,2.06,27.76
7,0.63,23.51
8,2.17,18.97
9,1.42,30.14
10,1.21,20.62
11,2.81,18.65
12,1.53,25.92
13,3.42,27.41
14,2.26,26.53
15,6.99,36.40
16,1.42,22.72